Entry P
BaSr2La2 | PBE | relaxed

It has space group P4/mbm (No. 127), with a = 10.715 Å, b = 10.715 Å, c = 4.236 Å, α = 90.00°, β = 90.00° and γ = 90.00°. Symmetry generates all atoms from Ba at (0.000, 0.000, 0.000), Sr at (0.182, 0.318, 0.500) and La at (0.109, 0.609, 0.000).

The total magnetization comes out at 0.0 μB per formula unit. The value obtained for the density of states at the Fermi level is 4.216 states/eV/atom.



Entry Q
BaSr2La2 | PBE | relaxed

It has space group I4/mmm (No. 139), with a = 4.571 Å, b = 4.571 Å, c = 25.537 Å, α = 90.00°, β = 90.00° and γ = 90.00°. Symmetry generates all atoms from Ba at (0.000, 0.000, 0.000), Sr at (0.000, 0.000, 0.380) and La at (0.000, 0.500, 0.250).

The total magnetization comes out at 0.0 μB per formula unit. The value obtained for the density of states at the Fermi level is 1.643 states/eV/atom.



entry P takes first place; second place is 90 meV per atom up.



Entry P
BaSrLa2Tc | PBE | relaxed

It has space group P4/mmm (No. 123), with a = 5.530 Å, b = 5.530 Å, c = 6.443 Å, α = 90.00°, β = 90.00° and γ = 90.00°. Symmetry generates all atoms from Ba at (0.000, 0.000, 0.000), Sr at (0.500, 0.500, 0.000), La at (0.000, 0.500, 0.500) and Tc at (0.500, 0.500, 0.500).

The total magnetization comes out at 0.0 μB per formula unit. The value obtained for the density of states at the Fermi level is 1.263 states/eV/atom.



Entry Q
BaSrLa2Tc | PBE | relaxed

It has space group P4/mmm (No. 123), with a = 5.552 Å, b = 5.552 Å, c = 6.442 Å, α = 90.00°, β = 90.00° and γ = 90.00°. Symmetry generates all atoms from Ba at (0.000, 0.000, 0.000), Sr at (0.500, 0.500, 0.000), La at (0.000, 0.500, 0.500) and Tc at (0.000, 0.000, 0.500).

The total magnetization comes out at 0.0 μB per formula unit. The value obtained for the density of states at the Fermi level is 1.051 states/eV/atom.



entry P takes first place; second place is 29 meV per atom up.



Entry P
BaLaTa2 | PBE | relaxed

It has space group R3m (No. 160, hexagonal axes), with a = 3.4760 Å, b = 3.4760 Å, c = 32.8838 Å, α = 90.00°, β = 90.00° and γ = 120.00°. Symmetry generates all atoms from Ba at (0.0000, 0.0000, 0.0000), La at (0.0000, 0.0000, 0.2192), Ta at (0.0000, 0.0000, 0.4758) and Ta at (0.0000, 0.0000, 0.7532).

The total magnetization comes out at 0.0 μB per formula unit. The value obtained for the density of states at the Fermi level is 1.244 states/eV/atom.



Entry Q
BaLaTa2 | PBE | relaxed

It has space group Cm (No. 8), with a = 9.294 Å, b = 3.188 Å, c = 8.210 Å, α = 90.00°, β = 92.13° and γ = 90.00°. Symmetry generates all atoms from Ba at (0.000, 0.000, 0.000), La at (0.241, 0.000, 0.624), Ta at (0.258, 0.500, 0.278) and Ta at (0.495, 0.000, 0.399).

The total magnetization comes out at 0.0 μB per formula unit. The value obtained for the density of states at the Fermi level is 1.089 states/eV/atom.



Entry R
BaLaTa2 | PBE | relaxed

It has space group P4/mmm (No. 123), with a = 3.080 Å, b = 3.080 Å, c = 11.087 Å, α = 90.00°, β = 90.00° and γ = 90.00°. Symmetry generates all atoms from Ba at (0.000, 0.000, 0.000), La at (0.000, 0.000, 0.500) and Ta at (0.500, 0.500, 0.269).

The total magnetization comes out at 0.0 μB per formula unit. The value obtained for the density of states at the Fermi level is 1.351 states/eV/atom.



entry Q takes first place; second place is 41 meV per atom up.



Entry P
BaLa3Ta | PBE | relaxed

It has space group Pm-3m (No. 221), with a = 5.882 Å, b = 5.882 Å, c = 5.882 Å, α = 90.00°, β = 90.00° and γ = 90.00°. Symmetry generates all atoms from Ba at (0.000, 0.000, 0.000), La at (0.000, 0.500, 0.500) and Ta at (0.500, 0.500, 0.500).

The total magnetization comes out at 0.0 μB per formula unit. The value obtained for the density of states at the Fermi level is 1.308 states/eV/atom.



Entry Q
BaLa3Ta | PBE | relaxed

It has space group Pm-3m (No. 221), with a = 5.761 Å, b = 5.761 Å, c = 5.761 Å, α = 90.00°, β = 90.00° and γ = 90.00°. Symmetry generates all atoms from Ba at (0.000, 0.000, 0.000), La at (0.000, 0.000, 0.500) and Ta at (0.500, 0.500, 0.500).

The total magnetization comes out at 0.0 μB per formula unit. The value obtained for the density of states at the Fermi level is 2.166 states/eV/atom.



entry P takes first place; second place is 1251 meV per atom up.



Entry P
BaLaTc2 | PBE | relaxed

It has space group Pm (No. 6), with a = 3.342 Å, b = 4.084 Å, c = 8.623 Å, α = 90.00°, β = 95.66° and γ = 90.00°. Symmetry generates all atoms from Ba at (0.000, 0.000, 0.000), La at (0.725, 0.500, 0.437), Tc at (0.183, 0.000, 0.644) and Tc at (0.518, 0.500, 0.732).

The total magnetization comes out at 0.0 μB per formula unit. The value obtained for the density of states at the Fermi level is 1.247 states/eV/atom.



Entry Q
BaLaTc2 | PBE | relaxed

It has space group R3m (No. 160, hexagonal axes), with a = 4.1825 Å, b = 4.1825 Å, c = 25.6878 Å, α = 90.00°, β = 90.00° and γ = 120.00°. Symmetry generates all atoms from Ba at (0.0000, 0.0000, 0.0000), La at (0.0000, 0.0000, 0.8183), Tc at (0.0000, 0.0000, 0.2412) and Tc at (0.0000, 0.0000, 0.5600).

The total magnetization comes out at 0.7 μB per formula unit. The value obtained for the density of states at the Fermi level is 1.166 states/eV/atom.



Entry R
BaLaTc2 | PBE | relaxed

It has space group P4/mmm (No. 123), with a = 5.171 Å, b = 5.171 Å, c = 3.657 Å, α = 90.00°, β = 90.00° and γ = 90.00°. Symmetry generates all atoms from Ba at (0.000, 0.000, 0.000), La at (0.500, 0.500, 0.000) and Tc at (0.000, 0.500, 0.500).

The total magnetization comes out at 2.3 μB per formula unit. The value obtained for the density of states at the Fermi level is 1.704 states/eV/atom.



Entry S
BaLaTc2 | PBE | relaxed

It has space group P4/mmm (No. 123), with a = 4.076 Å, b = 4.076 Å, c = 7.214 Å, α = 90.00°, β = 90.00° and γ = 90.00°. Symmetry generates all atoms from Ba at (0.000, 0.000, 0.000), La at (0.000, 0.000, 0.500) and Tc at (0.500, 0.500, 0.346).

The total magnetization comes out at 0.0 μB per formula unit. The value obtained for the density of states at the Fermi level is 0.667 states/eV/atom.



entry Q takes first place; second place is 182 meV per atom up.



Entry P
BaLaTc2 | PBE | relaxed

It has space group Cmmm (No. 65), with a = 3.482 Å, b = 5.480 Å, c = 9.582 Å, α = 90.00°, β = 90.00° and γ = 90.00°. Symmetry generates all atoms from Ba at (0.000, 0.000, 0.000), La at (0.000, 0.000, 0.500) and Tc at (0.000, 0.500, 0.274).

The total magnetization comes out at 0.0 μB per formula unit. The value obtained for the density of states at the Fermi level is 1.471 states/eV/atom.



Entry Q
BaLaTc2 | PBE | relaxed

It has space group P2/m (No. 10), with a = 3.402 Å, b = 4.770 Å, c = 7.128 Å, α = 90.00°, β = 99.19° and γ = 90.00°. Symmetry generates all atoms from Ba at (0.000, 0.000, 0.000), La at (0.500, 0.000, 0.500) and Tc at (0.214, 0.500, 0.641).

The total magnetization comes out at 0.0 μB per formula unit. The value obtained for the density of states at the Fermi level is 1.214 states/eV/atom.



entry Q takes first place; second place is 310 meV per atom up.



Entry P
BaLaTc2 | PBE | relaxed

It has space group F-43m (No. 216), with a = 7.139 Å, b = 7.139 Å, c = 7.139 Å, α = 90.00°, β = 90.00° and γ = 90.00°. Symmetry generates all atoms from Ba at (0.000, 0.000, 0.000), La at (0.250, 0.250, 0.250), Tc at (0.000, 0.000, 0.500) and Tc at (0.250, 0.250, 0.750).

The total magnetization comes out at 0.0 μB per formula unit. The value obtained for the density of states at the Fermi level is 1.672 states/eV/atom.



Entry Q
BaLaTc2 | PBE | relaxed

It has space group I-4m2 (No. 119), with a = 4.231 Å, b = 4.231 Å, c = 10.285 Å, α = 90.00°, β = 90.00° and γ = 90.00°. Symmetry generates all atoms from Ba at (0.000, 0.000, 0.000), La at (0.000, 0.500, 0.750), Tc at (0.000, 0.000, 0.500) and Tc at (0.000, 0.500, 0.250).

The total magnetization comes out at 0.4 μB per formula unit. The value obtained for the density of states at the Fermi level is 1.660 states/eV/atom.



entry P takes first place; second place is 75 meV per atom up.



Entry P
BaLaTc2 | PBE | relaxed

It has space group Pmm2 (No. 25), with a = 3.427 Å, b = 3.650 Å, c = 9.293 Å, α = 90.00°, β = 90.00° and γ = 90.00°. Symmetry generates all atoms from Ba at (0.000, 0.000, 0.000), La at (0.500, 0.500, 0.408), Tc at (0.000, 0.000, 0.655) and Tc at (0.500, 0.500, 0.704).

The total magnetization comes out at 0.0 μB per formula unit. The value obtained for the density of states at the Fermi level is 1.390 states/eV/atom.



Entry Q
BaLaTc2 | PBE | relaxed

It has space group Immm (No. 71), with a = 3.452 Å, b = 5.581 Å, c = 9.441 Å, α = 90.00°, β = 90.00° and γ = 90.00°. Symmetry generates all atoms from Ba at (0.000, 0.000, 0.000), La at (0.000, 0.000, 0.500) and Tc at (0.000, 0.500, 0.234).

The total magnetization comes out at 0.0 μB per formula unit. The value obtained for the density of states at the Fermi level is 1.628 states/eV/atom.



Entry R
BaLaTc2 | PBE | relaxed

It has space group Fm-3m (No. 225), with a = 7.316 Å, b = 7.316 Å, c = 7.316 Å, α = 90.00°, β = 90.00° and γ = 90.00°. Symmetry generates all atoms from Ba at (0.000, 0.000, 0.000), La at (0.000, 0.000, 0.500) and Tc at (0.250, 0.250, 0.250).

The total magnetization comes out at 2.4 μB per formula unit. The value obtained for the density of states at the Fermi level is 2.040 states/eV/atom.



entry P takes first place; second place is 573 meV per atom up.